Entry 1:
This record from the Alexandria database describes an optimized crystal structure of CdInReTc2. The functional is PBE-GGA.

Cell: 4.8712 4.8712 4.8316 Å, 90.00 90.00 90.00°
Sites, in units of the cell vectors:
Cd 0.0000 0.0000 0.0000
In 0.0000 0.0000 0.5000
Re 0.5000 0.5000 0.5000
Tc 0.0000 0.5000 0.0000
Tc 0.5000 0.0000 0.0000

- Space group: P4/mmm, No. 123



Entry 2:
This record from the Alexandria database describes an optimized crystal structure of CdIn2ReW. The functional is PBE-GGA.

Cell: 5.2524 5.2524 4.8659 Å, 90.00 90.00 90.00°
Sites, in units of the cell vectors:
Cd 0.0000 0.0000 0.0000
In 0.0000 0.5000 0.5000
In 0.5000 0.0000 0.5000
Re 0.5000 0.5000 0.5000
W 0.5000 0.5000 0.0000

- Space group: P4/mmm, No. 123



Entry 3:
This record from the Alexandria database describes an optimized crystal structure of ZrCd2InRe. The functional is PBE-GGA.

Cell: 5.6684 5.6684 4.8547 Å, 90.00 90.00 90.00°
Sites, in units of the cell vectors:
Zr 0.0000 0.0000 0.0000
Cd 0.0000 0.5000 0.0000
Cd 0.5000 0.0000 0.0000
In 0.5000 0.5000 0.5000
Re 0.0000 0.0000 0.5000

- Space group: P4/mmm, No. 123



Entry 4:
This record from the Alexandria database describes an optimized crystal structure of CdInRh2. The functional is PBE-GGA.

Cell: 5.8722 5.8722 5.8722 Å, 104.02 104.02 121.03°
Sites, in units of the cell vectors:
Cd 0.0000 0.0000 0.0000
Cd 0.7500 0.2500 0.5000
In 0.2500 0.7500 0.5000
In 0.5000 0.5000 0.0000
Rh 0.1333 0.1250 0.5083
Rh 0.3750 0.8667 0.9917
Rh 0.6167 0.6250 0.4917
Rh 0.8750 0.3833 0.0083

- Space group: I-42d, No. 122



Entry 5:
This record from the Alexandria database describes an optimized crystal structure of CdIn3Rh. The functional is PBE-GGA.

Cell: 5.1848 5.1848 5.1848 Å, 90.00 90.00 90.00°
Sites, in units of the cell vectors:
Cd 0.0000 0.0000 0.0000
In 0.0000 0.5000 0.5000
In 0.5000 0.0000 0.5000
In 0.5000 0.5000 0.0000
Rh 0.5000 0.5000 0.5000

- Space group: Pm-3m, No. 221



Entry 6:
This record from the Alexandria database describes an optimized crystal structure of CdIn5Rh6. The functional is PBE-GGA.

Cell: 4.5671 6.4826 7.2135 Å, 90.00 108.39 90.00°
Sites, in units of the cell vectors:
Cd 0.0000 0.0000 0.0000
In 0.0000 0.5000 0.0000
In 0.3334 0.5000 0.6667
In 0.3364 0.0000 0.6727
In 0.6636 0.0000 0.3273
In 0.6666 0.5000 0.3333
Rh 0.1691 0.2509 0.3381
Rh 0.1691 0.7491 0.3381
Rh 0.5000 0.2564 0.0000
Rh 0.5000 0.7436 0.0000
Rh 0.8309 0.2509 0.6619
Rh 0.8309 0.7491 0.6619

- Space group: P2/m, No. 10



| no. | energy of formation from the pure elements (kJ per mole of atoms) | density (g/cm3) | total moment (μB per atom) |
| --- | --- | --- | --- |
| 1 | 252.0 | 8.8 | 1.120 |
| 2 | 105.7 | 8.8 | 0.347 |
| 3 | 122.9 | 6.6 | 0.179 |
| 4 | 19.7 | 9.5 | 0.000 |
| 5 | -9.8 | 6.7 | 0.000 |
| 6 | -38.7 | 10.7 | 0.000 |